No. 1
Entry from Alexandria via LeMat-Bulk: a geometry-optimized In3AsOs structure (PBEsol).

Cell and atoms, written as CIF:
```
data_In3AsOs
_chemical_formula_sum 'In3 As1 Os1'
_space_group_name_H-M_alt 'P m -3 m'
_space_group_IT_number 221
_space_group_name_Hall '-P 4 2 3'
_cell_length_a 5.078
_cell_length_b 5.078
_cell_length_c 5.078
_cell_angle_alpha 90.00
_cell_angle_beta 90.00
_cell_angle_gamma 90.00
loop_
_atom_site_label
_atom_site_fract_x
_atom_site_fract_y
_atom_site_fract_z
_atom_site_occupancy
In1 0.000 0.000 0.500 1
As1 0.000 0.000 0.000 1
Os1 0.500 0.500 0.500 1
```

Properties
Size of the total moment   1.98 Bohr magnetons per cell
ΔE_f   1.49 eV/atom
DFT total energy   -18.80 eV for the cell shown

---

No. 2
Entry from Alexandria via LeMat-Bulk: a geometry-optimized Sr3RhI structure (PBEsol).

Cell and atoms, written as CIF:
```
data_Sr3RhI
_chemical_formula_sum 'Sr3 Rh1 I1'
_space_group_name_H-M_alt 'P m -3 m'
_space_group_IT_number 221
_space_group_name_Hall '-P 4 2 3'
_cell_length_a 5.950
_cell_length_b 5.950
_cell_length_c 5.950
_cell_angle_alpha 90.00
_cell_angle_beta 90.00
_cell_angle_gamma 90.00
loop_
_atom_site_label
_atom_site_fract_x
_atom_site_fract_y
_atom_site_fract_z
_atom_site_occupancy
Sr1 0.000 0.000 0.500 1
Rh1 0.500 0.500 0.500 1
I1 0.000 0.000 0.000 1
```

Properties
Size of the total moment   0.20 Bohr magnetons per cell
DFT total energy   -13.04 eV for the cell shown
Formation energy (no corrections)   0.4773 eV per atom

---

No. 3
Entry from Alexandria via LeMat-Bulk: a geometry-optimized ZnAs2Rh structure (PBEsol).

Cell and atoms, written as CIF:
```
data_ZnAs2Rh
_chemical_formula_sum 'Zn2 As4 Rh2'
_space_group_name_H-M_alt 'A m m 2'
_space_group_IT_number 38
_cell_length_a 4.571
_cell_length_b 4.038
_cell_length_c 7.788
_cell_angle_alpha 90.00
_cell_angle_beta 90.00
_cell_angle_gamma 90.00
loop_
_space_group_symop_operation_xyz
'x,y,z'
'-x,-y,z'
'-x,y,z'
'x,-y,z'
'x,y+1/2,z+1/2'
'-x,-y+1/2,z+1/2'
'-x,y+1/2,z+1/2'
'x,-y+1/2,z+1/2'
loop_
_atom_site_label
_atom_site_fract_x
_atom_site_fract_y
_atom_site_fract_z
_atom_site_occupancy
Zn1 0.000 0.000 0.000 1
As1 0.000 0.000 0.313 1
As2 0.500 0.000 0.835 1
Rh1 0.500 0.000 0.163 1
```

Properties
Size of the total moment   0.00 Bohr magnetons per cell
ΔE_f   -0.14 eV/atom
DFT total energy   -40.99 eV for the cell shown

---

No. 4
Entry from Alexandria via LeMat-Bulk: a geometry-optimized Ti4B2N3 structure (PBEsol).

Cell and atoms, written as CIF:
```
data_Ti4B2N3
_chemical_formula_sum 'Ti12 B6 N9'
_space_group_name_H-M_alt 'R 3 m'
_space_group_IT_number 160
_space_group_name_Hall 'R 3 -2"'
_cell_length_a 2.9315
_cell_length_b 2.9315
_cell_length_c 34.3652
_cell_angle_alpha 90.00
_cell_angle_beta 90.00
_cell_angle_gamma 120.00
loop_
_atom_site_label
_atom_site_fract_x
_atom_site_fract_y
_atom_site_fract_z
_atom_site_occupancy
Ti1 0.0000 0.0000 0.0000 1
Ti2 0.0000 0.0000 0.1828 1
Ti3 0.0000 0.0000 0.4026 1
Ti4 0.0000 0.0000 0.5942 1
B1 0.0000 0.0000 0.4677 1
B2 0.0000 0.0000 0.8878 1
N1 0.0000 0.0000 0.1183 1
N2 0.0000 0.0000 0.2976 1
N3 0.0000 0.0000 0.7020 1
```

Properties
Size of the total moment   0.00 Bohr magnetons per cell
DFT total energy   -248.98 eV for the cell shown
Formation energy (no corrections)   -1.1214 eV per atom

---

No. 5
Entry from Alexandria via LeMat-Bulk: a geometry-optimized CuOs2Cl structure (PBEsol).

Cell and atoms, written as CIF:
```
data_CuOs2Cl
_chemical_formula_sum 'Cu2 Os4 Cl2'
_space_group_name_H-M_alt 'I m m 2'
_space_group_IT_number 44
_cell_length_a 2.758
_cell_length_b 4.436
_cell_length_c 9.146
_cell_angle_alpha 90.00
_cell_angle_beta 90.00
_cell_angle_gamma 90.00
loop_
_space_group_symop_operation_xyz
'x,y,z'
'-x,-y,z'
'-x,y,z'
'x,-y,z'
'x+1/2,y+1/2,z+1/2'
'-x+1/2,-y+1/2,z+1/2'
'-x+1/2,y+1/2,z+1/2'
'x+1/2,-y+1/2,z+1/2'
loop_
_atom_site_label
_atom_site_fract_x
_atom_site_fract_y
_atom_site_fract_z
_atom_site_occupancy
Cu1 0.000 0.000 0.000 1
Os1 0.000 0.000 0.502 1
Os2 0.000 0.500 0.238 1
Cl1 0.000 0.500 0.771 1
```

Properties
Size of the total moment   0.00 Bohr magnetons per cell
Offset from the most stable computed form   24.4 meV/atom
DFT total energy   -53.51 eV for the cell shown
Formation energy (no corrections)   1.0050 eV per atom

---

No. 6
Entry from Alexandria via LeMat-Bulk: a geometry-optimized NaVP2O8 structure (PBEsol).

Cell and atoms, written as CIF:
```
data_NaVP2O8
_chemical_formula_sum 'Na4 V4 P8 O32'
_space_group_name_H-M_alt 'P 42 n m'
_space_group_IT_number 102
_cell_length_a 8.142
_cell_length_b 8.142
_cell_length_c 9.967
_cell_angle_alpha 90.00
_cell_angle_beta 90.00
_cell_angle_gamma 90.00
loop_
_space_group_symop_operation_xyz
'x,y,z'
'-y+1/2,x+1/2,z+1/2'
'-x,-y,z'
'y+1/2,-x+1/2,z+1/2'
'-x+1/2,y+1/2,z+1/2'
'y,x,z'
'x+1/2,-y+1/2,z+1/2'
'-y,-x,z'
loop_
_atom_site_label
_atom_site_fract_x
_atom_site_fract_y
_atom_site_fract_z
_atom_site_occupancy
Na1 0.155 0.155 0.000 1
V1 0.000 0.500 0.217 1
P1 0.126 0.874 0.738 1
P2 0.137 0.863 0.251 1
O1 0.000 0.000 0.214 1
O2 0.000 0.000 0.668 1
O3 0.000 0.500 0.375 1
O4 0.072 0.713 0.170 1
O5 0.078 0.708 0.673 1
O6 0.119 0.881 0.887 1
O7 0.166 0.834 0.395 1
```

Properties
Size of the total moment   0.00 Bohr magnetons per cell
DFT total energy   -363.80 eV for the cell shown
Formation energy (no corrections)   -2.1949 eV per atom